DFT (PBE-GGA) results for crystalline LaZr2Sn2 at its relaxed geometry.

Output
* Fermi-level density of states: 10.73 states/eV/cell
* energy of formation: -2.7 eV/f.u.
* final energy: -6.5409 eV per atom
* excess energy over the best structure of this formula in the dataset: 0.000 eV/atom

abc: 4.4577 4.4577 13.5880
angles: 90.00 90.00 90.00
With the nearest neighbours (Å) after each atom.
Space group I4/mmm (No. 139)
Symmetry-distinct sites (fractional):
La 0.0000 0.0000 0.0000 (multiplicity 2)  8 Sn 3.46
Zr 0.0000 0.5000 0.2500 (multiplicity 4)  4 Sn 2.97, 4 Zr 3.15
Sn 0.0000 0.0000 0.3950 (multiplicity 4)  1 Sn 2.85, 4 Zr 2.97

=====

DFT (PBE-GGA) results for crystalline LiLaPd2 at its relaxed geometry.

Output
* Fermi-level density of states: 2.89 states/eV/cell
* energy of formation: -2.3 eV/f.u.
* final energy: -4.8883 eV per atom

abc: 4.5243 4.5243 3.8655
angles: 90.00 90.00 90.00
With the nearest neighbours (Å) after each atom.
Space group P4/mmm (No. 123)
Symmetry-distinct sites (fractional):
Li 0.0000 0.0000 0.0000 (multiplicity 1)  8 Pd 2.98, 4 La 3.20
La 0.5000 0.5000 0.0000 (multiplicity 1)  8 Pd 2.98, 4 Li 3.20
Pd 0.0000 0.5000 0.5000 (multiplicity 2)  4 La 2.98, 4 Li 2.98, 4 Pd 3.20

=====

DFT (PBE-GGA) results for crystalline Tb4Zn3Au at its relaxed geometry.

Output
* Fermi-level density of states: 7.04 states/eV/cell
* energy of formation: -3.8 eV/f.u.
* final energy: -3.6754 eV per atom
* excess energy over the best structure of this formula in the dataset: 0.000 eV/atom

abc: 3.6042 3.6042 14.2366
angles: 90.00 90.00 90.00
With the nearest neighbours (Å) after each atom.
Space group P4/mmm (No. 123)
Symmetry-distinct sites (fractional):
Tb 0.0000 0.0000 0.1245 (multiplicity 2)  8 Zn 3.08-3.10
Tb 0.0000 0.0000 0.3737 (multiplicity 2)  4 Au 3.12, 4 Zn 3.13
Zn 0.5000 0.5000 0.0000 (multiplicity 1)  8 Tb 3.10
Zn 0.5000 0.5000 0.2457 (multiplicity 2)  8 Tb 3.08-3.13
Au 0.5000 0.5000 0.5000 (multiplicity 1)  8 Tb 3.12

=====

DFT (PBE-GGA) results for crystalline In3WSe at its relaxed geometry.

Output
* uncorrected formation energy: 7.81 eV/f.u.
* Fermi-level density of states: 6.53 states/eV/cell
* final energy: -3.3690 eV per atom
* excess energy over the best structure of this formula in the dataset: 0.731 eV/atom

abc: 5.1949 5.1949 5.1949
angles: 90.00 90.00 90.00
With the nearest neighbours (Å) after each atom.
Space group Pm-3m (No. 221)
Symmetry-distinct sites (fractional):
In 0.0000 0.0000 0.5000 (multiplicity 3)  2 Se 2.60
W 0.5000 0.5000 0.5000 (multiplicity 1)  12 In 3.67
Se 0.0000 0.0000 0.0000 (multiplicity 1)  6 In 2.60

=====

DFT (PBE-GGA) results for crystalline Na2TePd at its relaxed geometry.

Output
* uncorrected formation energy: -0.94 eV/f.u.
* Fermi-level density of states: 3.30 states/eV/cell
* final energy: -2.9786 eV per atom

abc: 4.2917 4.2917 20.5174
angles: 90.00 90.00 90.00
With the nearest neighbours (Å) after each atom.
Space group I-42d (No. 122)
Symmetry-distinct sites (fractional):
Na 0.2367 0.2500 0.1250 (multiplicity 8)  4 Na 2.96-3.12, 2 Pd 2.96, 2 Te 3.00
Te 0.0000 0.0000 0.5000 (multiplicity 4)  4 Na 3.00, 4 Pd 3.03
Pd 0.0000 0.0000 0.0000 (multiplicity 4)  4 Na 2.96, 4 Te 3.03

=====

DFT (PBE-GGA) results for crystalline PrMgSc2 at its relaxed geometry.

Output
* Fermi-level density of states: 7.11 states/eV/cell
* energy of formation: 0.2 eV/f.u.
* final energy: -4.7047 eV per atom
* excess energy over the best structure of this formula in the dataset: 0.046 eV/atom

abc: 4.7238 4.7238 4.8321
angles: 90.00 90.00 90.00
With the nearest neighbours (Å) after each atom.
Space group P4/mmm (No. 123)
Symmetry-distinct sites (fractional):
Pr 0.0000 0.0000 0.0000 (multiplicity 1)  4 Mg 3.34, 8 Sc 3.38
Mg 0.5000 0.5000 0.0000 (multiplicity 1)  4 Pr 3.34, 8 Sc 3.38
Sc 0.0000 0.5000 0.5000 (multiplicity 2)  4 Sc 3.34, 4 Pr 3.38, 4 Mg 3.38

=====

DFT (PBE-GGA) results for crystalline TiPd4Pt at its relaxed geometry.

Output
* Fermi-level density of states: 8.22 states/eV/cell
* energy of formation: -2.8 eV/f.u.
* final energy: -6.2474 eV per atom
* excess energy over the best structure of this formula in the dataset: 0.000 eV/atom

abc: 4.8291 8.4192 4.7860
angles: 90.00 109.36 90.00
With the nearest neighbours (Å) after each atom.
Space group C2/m (No. 12)
Symmetry-distinct sites (fractional):
Ti 0.0000 0.0000 0.0000 (multiplicity 2)  10 Pd 2.77-2.82, 2 Pt 2.78
Pd 0.0000 0.1647 0.5000 (multiplicity 4)  2 Ti 2.77, 7 Pd 2.77-2.81, 3 Pt 2.78-2.82
Pd 0.0000 0.3349 0.0000 (multiplicity 4)  2 Pt 2.77, 7 Pd 2.78-2.81, 3 Ti 2.79-2.82
Pt 0.0000 0.5000 0.5000 (multiplicity 2)  10 Pd 2.77-2.82, 2 Ti 2.78

=====

DFT (PBE-GGA) results for crystalline TbPm4Sm2Dy at its relaxed geometry.

Output
* Fermi-level density of states: 69.60 states/eV/cell
* energy of formation: 3.2 eV/f.u.
* final energy: -4.3142 eV per atom

abc: 13.7916 13.2718 6.8810
angles: 90.00 119.87 90.00
With the nearest neighbours (Å) after each atom.
Space group C2/c (No. 15)
Symmetry-distinct sites (fractional):
Tb 0.2500 0.2500 0.0000 (multiplicity 4)  6 Pm 3.29-3.61, 2 Sm 3.44
Pm 0.0154 0.2476 0.0148 (multiplicity 8)  2 Tb 3.29-3.61, 1 Dy 3.29, 3 Sm 3.29-3.61, 2 Pm 3.45-3.47
Pm 0.2487 0.0013 0.9568 (multiplicity 8)  2 Dy 3.30-3.59, 1 Tb 3.31, 3 Sm 3.33-3.62, 2 Pm 3.44
Sm 0.0000 0.5000 0.0000 (multiplicity 4)  6 Pm 3.33-3.62, 2 Sm 3.44
Sm 0.2500 0.2500 0.5000 (multiplicity 4)  6 Pm 3.29-3.61, 2 Tb 3.44
Dy 0.0000 0.0000 0.0000 (multiplicity 4)  6 Pm 3.29-3.59, 2 Dy 3.44